# 1
DFT (PBE) results for NbCr2Pd2 after structural relaxation.

## Properties
The formation energy comes out at 0.285 eV per atom. The calculation puts the magnetic moment at 0.00 μB per cell. As for the polymorph energy (0 for the lowest one): 9.71 kJ per mole of atoms. Its space-group type is I4/mmm. For the total DFT energy (no corrections), the calculation gives -7.656 eV per atom.

a = 3.3504 Å, b = 3.3504 Å, c = 7.2101 Å
α = 76.56°, β = 76.56°, γ = 90.00°
Positions (direct):
Cr: 0.7500 0.2500 0.5000
Cr: 0.2500 0.7500 0.5000
Nb: 0.0000 0.0000 0.0000
Pd: 0.4011 0.4011 0.1977
Pd: 0.5989 0.5989 0.8023


# 2
DFT (PBE) results for NbCrPd after structural relaxation.

## Properties
The formation energy comes out at -0.050 eV per atom. The calculation puts the magnetic moment at 0.00 μB per cell. As for the polymorph energy (0 for the lowest one): 0.00 kJ per mole of atoms. Its space-group type is I4/mmm. For the total DFT energy (no corrections), the calculation gives -8.345 eV per atom.

a = 2.8903 Å, b = 2.8903 Å, c = 11.5881 Å
α = 97.16°, β = 97.16°, γ = 90.00°
Positions (direct):
Cr: 0.2773 0.2773 0.5546
Cr: 0.7227 0.7227 0.4454
Nb: 0.1418 0.1418 0.2835
Nb: 0.8582 0.8582 0.7165
Pd: 0.5586 0.5586 0.1171
Pd: 0.4414 0.4414 0.8829


# 3
DFT (PBE) results for Nb3CrPd after structural relaxation.

## Properties
The formation energy comes out at 0.804 eV per atom. The calculation puts the magnetic moment at 0.00 μB per cell. As for the polymorph energy (0 for the lowest one): 0.00 kJ per mole of atoms. Its space-group type is Pm-3m. For the total DFT energy (no corrections), the calculation gives -8.201 eV per atom.

a = 4.5635 Å, b = 4.5635 Å, c = 4.5635 Å
α = 90.00°, β = 90.00°, γ = 90.00°
Positions (direct):
Cr: 0.0000 0.0000 0.0000
Nb: 0.0000 0.5000 0.0000
Nb: 0.0000 0.0000 0.5000
Nb: 0.5000 0.0000 0.0000
Pd: 0.5000 0.5000 0.5000